DFT (GGA-PBE) results for NaCa4Cd2 after structural relaxation.

The structure in POSCAR format:
```
NaCa4Cd2
1.0
5.3290 0.0000 0.0000
2.6645 4.6150 0.0000
2.6645 1.5383 10.5760
Na Ca Cd
1 4 2
Direct
0.5000 0.5000 0.5000 Na
0.1085 0.1085 0.6744 Ca
0.7022 0.7022 0.8935 Ca
0.8915 0.8915 0.3256 Ca
0.2978 0.2978 0.1065 Ca
0.5972 0.5972 0.2085 Cd
0.4028 0.4028 0.7915 Cd
```

Properties
* ρ: 2.61 Mg/m³
* distance to the lowest polymorph of the same formula: 0.087 eV/atom
* M_tot: 0.00 Bohr magnetons per cell

---

DFT (GGA-PBE) results for NaCa2Cd16 after structural relaxation.

The structure in POSCAR format:
```
NaCa2Cd16
1.0
7.6998 0.0475 0.9210
0.8230 7.6559 0.9210
0.0526 0.0475 7.7545
Cd Ca Na
16 2 1
Direct
0.3013 0.6935 0.9978 Cd
0.6935 0.9978 0.3013 Cd
0.6438 0.6438 0.1537 Cd
0.6438 0.1537 0.6438 Cd
0.1537 0.6438 0.6438 Cd
0.1242 0.1242 0.1242 Cd
0.6935 0.3013 0.9978 Cd
0.9976 0.4975 0.9976 Cd
0.9976 0.9976 0.4975 Cd
0.3562 0.3562 0.8300 Cd
0.9978 0.6935 0.3013 Cd
0.3562 0.8300 0.3562 Cd
0.4975 0.9976 0.9976 Cd
0.3013 0.9978 0.6935 Cd
0.8300 0.3562 0.3562 Cd
0.9978 0.3013 0.6935 Cd
0.6563 0.6563 0.6563 Ca
0.3458 0.3458 0.3458 Ca
0.9117 0.9117 0.9117 Na
```

Properties
* ρ: 6.92 Mg/m³
* M_tot: 0.00 Bohr magnetons per cell

---

DFT (GGA-PBE) results for Na3CaCd after structural relaxation.

The structure in POSCAR format:
```
Na3CaCd
1.0
6.7204 0.0000 0.0000
0.0000 6.7204 0.0000
0.0000 0.0000 6.7204
Ca Na Cd
1 3 1
Direct
0.0000 0.0000 0.0000 Ca
0.0000 0.5000 0.0000 Na
0.0000 0.0000 0.5000 Na
0.5000 0.0000 0.0000 Na
0.5000 0.5000 0.5000 Cd
```

Properties
* ρ: 1.21 Mg/m³
* distance to the lowest polymorph of the same formula: 0.415 eV/atom
* M_tot: 0.00 Bohr magnetons per cell

---

no.,energy relative to the elements (eV/atom)
1,-0.0423
2,-0.1329
3,0.5835